Entry 1:
Below is a relaxed CdAgPb crystal, with properties calculated at the GGA-PBEsol level.

Cell: 3.2435 3.2435 6.7386 Å, 103.93 103.93 90.00°
Closest atoms and distances in Å follow each position.
Sites, in units of the cell vectors:
Pb  0.6583  0.6583  0.3166  4 Ag 3.14, 4 Pb 3.24, 4 Cd 3.36
Ag  0.9892  0.9892  0.9784  4 Cd 2.87, 4 Pb 3.14
Cd  0.3525  0.3525  0.7050  4 Ag 2.87

DOS at the Fermi energy	0.37	states/eV per atom
calculated density	10.65	g/cm3
formation energy from the elements	54	meV per atom

***

Entry 2:
Below is a relaxed Y2IrPtSe crystal, with properties calculated at the GGA-PBEsol level.

Cell: 4.6118 5.3833 5.3833 Å, 90.00 90.00 90.00°
Closest atoms and distances in Å follow each position.
Sites, in units of the cell vectors:
Y  0.0000  0.0000  0.5000  2 Pt 2.69
Y  0.0000  0.5000  0.0000  2 Pt 2.69
Ir  0.5000  0.0000  0.0000  2 Pt 2.31
Se  0.5000  0.5000  0.5000  8 Y 3.54, 4 Ir 3.81
Pt  0.0000  0.0000  0.0000  2 Ir 2.31

DOS at the Fermi energy	0.48	states/eV per atom
raw formation energy	-0.12	eV/atom
calculated density	8.00	g/cm3

***

Entry 3:
Below is a relaxed SrTcO3 crystal, with properties calculated at the GGA-PBEsol level.

Cell: 5.5256 5.5294 5.5294 Å, 60.10 60.02 60.02°
Closest atoms and distances in Å follow each position.
Sites, in units of the cell vectors:
Sr  0.7500  0.7497  0.7503  12 O 2.65-2.89
Sr  0.2500  0.2503  0.2497  12 O 2.65-2.89
Tc  0.5000  0.5000  0.5000  6 O 1.96
Tc  0.0000  0.0000  0.0000  6 O 1.96
O  0.7500  0.2281  0.2719  2 Tc 1.96
O  0.2500  0.7719  0.7281  2 Tc 1.96
O  0.7390  0.2610  0.7610  2 Tc 1.96
O  0.7610  0.7390  0.2390  2 Tc 1.96
O  0.2390  0.2610  0.7610  2 Tc 1.96
O  0.2610  0.7390  0.2390  2 Tc 1.96

DOS at the Fermi energy	0.59	states/eV per atom
raw formation energy	-2.15	eV/atom
calculated density	6.49	g/cm3

***

Entry 4:
Below is a relaxed KSrZrN2 crystal, with properties calculated at the GGA-PBEsol level.

Cell: 4.7088 4.7088 4.9930 Å, 90.00 90.00 90.00°
Closest atoms and distances in Å follow each position.
Sites, in units of the cell vectors:
Sr  0.0000  0.0000  0.0000  4 N 2.35, 2 K 2.50
K  0.0000  0.0000  0.5000  2 Sr 2.50
Zr  0.5000  0.5000  0.5000  4 K 3.33, 8 N 3.43
N  0.0000  0.5000  0.0000  2 Sr 2.35
N  0.5000  0.0000  0.0000  2 Sr 2.35

DOS at the Fermi energy	0.76	states/eV per atom
raw formation energy	1.76	eV/atom
calculated density	3.69	g/cm3

***

Entry 5:
Below is a relaxed AlSb2IF crystal, with properties calculated at the GGA-PBEsol level.

Cell: 4.6513 4.6513 5.8666 Å, 90.00 90.00 90.00°
Closest atoms and distances in Å follow each position.
Sites, in units of the cell vectors:
I  0.0000  0.0000  0.5000  2 F 2.93
Sb  0.0000  0.5000  0.0000  2 F 2.33
Sb  0.5000  0.0000  0.0000  2 F 2.33
Al  0.5000  0.5000  0.5000  4 I 3.29
F  0.0000  0.0000  0.0000  4 Sb 2.33

DOS at the Fermi energy	0.68	states/eV per atom
raw formation energy	-0.02	eV/atom
calculated density	5.45	g/cm3

***

Entry 6:
Below is a relaxed Zn4Cd3 crystal, with properties calculated at the GGA-PBEsol level.

Cell: 3.5624 3.5624 9.9359 Å, 100.33 100.33 90.00°
Closest atoms and distances in Å follow each position.
Sites, in units of the cell vectors:
Zn  0.1388  0.1388  0.2777  6 Cd 2.67-2.91, 4 Zn 2.84
Zn  0.4296  0.4296  0.8592  5 Cd 2.68-2.86, 5 Zn 2.71-2.84
Zn  0.5704  0.5704  0.1408  5 Cd 2.68-2.86, 5 Zn 2.71-2.84
Zn  0.8612  0.8612  0.7223  6 Cd 2.67-2.91, 4 Zn 2.84
Cd  0.0000  0.0000  0.0000  10 Zn 2.67-2.86
Cd  0.2902  0.2902  0.5804  6 Zn 2.68-2.91, 4 Cd 2.96
Cd  0.7098  0.7098  0.4196  6 Zn 2.68-2.91, 4 Cd 2.96

DOS at the Fermi energy	0.27	states/eV per atom
calculated density	8.15	g/cm3
formation energy from the elements	80	meV per atom

***

Number 1: total energy -2.7820 eV/atom, spin magnetization 0.00 Bohr magnetons per cell. Number 2: total energy -6.9769 eV/atom, spin magnetization 0.00 Bohr magnetons per cell. Number 3: total energy -7.9211 eV/atom, spin magnetization 0.00 Bohr magnetons per cell. Number 4: total energy -4.0589 eV/atom, spin magnetization 3.03 Bohr magnetons per cell. Number 5: total energy -3.3957 eV/atom, spin magnetization 0.00 Bohr magnetons per cell. Number 6: total energy -1.3373 eV/atom, spin magnetization 0.00 Bohr magnetons per cell.